(1)
Density functional theory data (PBE) for crystalline Na5B8C2 at its relaxed geometry.

## Properties
The value obtained for the energy is -5.06 eV/atom.

Unit cell a=18.0935 b=2.8176 c=13.6786 alpha=90.00 beta=112.41 gamma=90.00
Space group C2/m (No. 12)
One atom of each set of equivalent atoms:
Na 0.0000 0.0000 0.0000 x2
Na 0.0000 0.0000 0.5000 x2
Na 0.0982 0.5000 0.1970 x4
Na 0.1002 0.5000 0.7035 x4
Na 0.1991 0.0000 0.3974 x4
Na 0.1996 0.0000 0.9023 x4
B 0.0264 0.0000 0.3005 x4
B 0.0400 0.0000 0.8328 x4
B 0.0667 0.5000 0.3821 x4
B 0.1301 0.5000 0.5099 x4
B 0.1325 0.5000 0.0152 x4
B 0.1727 0.0000 0.5969 x4
B 0.2235 0.0000 0.1944 x4
B 0.2351 0.0000 0.7228 x4
C 0.0706 0.5000 0.8940 x4
C 0.1641 0.0000 0.0769 x4

(2)
Density functional theory data (PBE) for crystalline Na2B3C at its relaxed geometry.

## Properties
The value obtained for the energy is -5.14 eV/atom.

Unit cell a=17.9058 b=2.8478 c=10.3680 alpha=90.00 beta=106.75 gamma=90.00
Space group Cm (No. 8)
One atom of each set of equivalent atoms:
Na 0.0000 0.0000 0.0000 x2
Na 0.0003 0.0000 0.4995 x2
Na 0.9997 0.5000 0.2502 x2
Na 0.0029 0.5000 0.7506 x2
Na 0.2473 0.5000 0.8729 x2
Na 0.2476 0.0000 0.6226 x2
Na 0.2499 0.0000 0.1257 x2
Na 0.2498 0.5000 0.3749 x2
B 0.1243 0.0000 0.7132 x2
B 0.1245 0.0000 0.8942 x2
B 0.1252 0.0000 0.2325 x2
B 0.1248 0.5000 0.4720 x2
B 0.1248 0.5000 0.9944 x2
B 0.3744 0.0000 0.0116 x2
B 0.3738 0.0000 0.8495 x2
B 0.3741 0.5000 0.7543 x2
B 0.3752 0.0000 0.3653 x2
B 0.3746 0.0000 0.5309 x2
B 0.3752 0.5000 0.1086 x2
B 0.3753 0.5000 0.2722 x2
C 0.1241 0.5000 0.6356 x2
C 0.1254 0.0000 0.3949 x2
C 0.1252 0.5000 0.1540 x2
C 0.3743 0.5000 0.6031 x2

(3)
Density functional theory data (PBE) for crystalline Na2B3C at its relaxed geometry.

## Properties
The value obtained for the energy is -5.14 eV/atom.

Unit cell a=5.0522 b=7.7134 c=9.0903 alpha=107.63 beta=90.02 gamma=109.09
Space group P1 (No. 1)
One atom of each set of equivalent atoms:
Na 0.0000 0.0000 0.0000 x1
Na 0.0966 0.1991 0.4970 x1
Na 0.1980 0.4017 0.0009 x1
Na 0.2991 0.5987 0.4932 x1
Na 0.4015 0.8026 0.0002 x1
Na 0.4999 0.0014 0.4969 x1
Na 0.6004 0.2012 0.9985 x1
Na 0.6999 0.3999 0.4973 x1
Na 0.8000 0.6001 0.9988 x1
Na 0.9006 0.7990 0.4956 x1
B 0.0171 0.7123 0.7478 x1
B 0.0833 0.5022 0.7482 x1
B 0.1722 0.7021 0.2483 x1
B 0.2213 0.0829 0.7474 x1
B 0.3117 0.2983 0.2477 x1
B 0.3889 0.0907 0.2469 x1
B 0.4395 0.5181 0.7478 x1
B 0.4683 0.3001 0.7475 x1
B 0.5140 0.7027 0.2482 x1
B 0.6037 0.5006 0.2491 x1
B 0.6047 0.8882 0.7478 x1
B 0.7983 0.9096 0.2471 x1
B 0.8196 0.3008 0.7483 x1
B 0.8812 0.0988 0.7481 x1
B 0.9702 0.2988 0.2479 x1
C 0.1154 0.9001 0.2473 x1
C 0.2878 0.8960 0.7474 x1
C 0.6922 0.7046 0.7481 x1
C 0.7154 0.1002 0.2466 x1
C 0.9131 0.5009 0.2493 x1

(4)
Density functional theory data (PBE) for crystalline Na2B3C at its relaxed geometry.

## Properties
The value obtained for the energy is -5.14 eV/atom.

Unit cell a=14.7160 b=5.0032 c=10.4395 alpha=90.00 beta=124.27 gamma=90.00
Space group C2 (No. 5)
One atom of each set of equivalent atoms:
Na 0.0010 0.0000 0.2513 x4
Na 0.0996 0.4986 0.7486 x4
Na 0.0998 0.5021 0.2494 x4
Na 0.1994 0.9998 0.2487 x4
Na 0.1995 0.9989 0.7482 x4
B 0.0000 0.1624 0.5000 x2
B 0.0000 0.1817 0.0000 x2
B 0.0000 0.8301 0.0000 x2
B 0.0949 0.6640 0.5009 x4
B 0.1003 0.6685 0.9987 x4
B 0.1081 0.3201 0.9987 x4
B 0.1926 0.1953 0.5001 x4
B 0.2017 0.8185 0.5010 x4
B 0.2058 0.8383 0.9995 x4
C 0.0000 0.8264 0.5000 x2
C 0.0954 0.3266 0.5008 x4
C 0.2015 0.1612 0.9989 x4

(5)
Density functional theory data (PBE) for crystalline Na2B3C at its relaxed geometry.

## Properties
The value obtained for the energy is -5.15 eV/atom.

Unit cell a=5.1478 b=2.8578 c=17.2198 alpha=90.00 beta=90.05 gamma=90.00
Space group Pm (No. 6)
One atom of each set of equivalent atoms:
Na 0.0000 0.0000 0.0000 x1
Na 0.9997 0.0000 0.2500 x1
Na 0.0038 0.0000 0.7548 x1
Na 0.4971 0.5000 0.7548 x1
Na 0.4999 0.5000 0.2500 x1
Na 0.5025 0.5000 0.5023 x1
Na 0.5018 0.5000 0.9990 x1
Na 0.9974 0.0000 0.5012 x1
B 0.1521 0.5000 0.1249 x1
B 0.1631 0.5000 0.6222 x1
B 0.1726 0.5000 0.8776 x1
B 0.1786 0.5000 0.3754 x1
B 0.3354 0.0000 0.6222 x1
B 0.3647 0.0000 0.1247 x1
B 0.6347 0.0000 0.3754 x1
B 0.6624 0.0000 0.6342 x1
B 0.6728 0.0000 0.8775 x1
B 0.8214 0.5000 0.1248 x1
B 0.8346 0.5000 0.6341 x1
B 0.8470 0.5000 0.3755 x1
C 0.3350 0.0000 0.3752 x1
C 0.3366 0.0000 0.8774 x1
C 0.6644 0.0000 0.1247 x1
C 0.8366 0.5000 0.8778 x1

(6)
Density functional theory data (PBE) for crystalline Na5B9C at its relaxed geometry.

## Properties
The value obtained for the energy is -4.81 eV/atom.

Unit cell a=15.0255 b=5.1141 c=10.5529 alpha=90.00 beta=124.69 gamma=90.00
Space group C2/c (No. 15)
One atom of each set of equivalent atoms:
Na 0.0000 0.0000 0.0000 x4
Na 0.1008 0.4970 0.0013 x8
Na 0.2000 0.0031 0.5011 x8
B 0.0000 0.1606 0.2500 x4
B 0.0909 0.3193 0.7500 x8
B 0.1009 0.3371 0.2492 x8
B 0.1968 0.1653 0.2494 x8
B 0.2005 0.1808 0.7502 x8
C 0.0000 0.1587 0.7500 x4